Record 1
First-principles (GGA-PBE) data for a geometry-optimized BaNaY structure, as listed in Alexandria.

Unit cell a=6.389 b=4.207 c=10.105 alpha=90.00 beta=108.18 gamma=90.00
Element x y z (fractional)
Ba: 0.091 0.250 0.182
Ba: 0.909 0.750 0.818
Na: 0.270 0.750 0.536
Na: 0.730 0.250 0.464
Y: 0.431 0.250 0.862
Y: 0.569 0.750 0.138

VASP energy: -3.007 eV/atom
space group: P2_1/m (11)
calculated formation energy: 0.229 eV/atom
N(E_F): 6.841 states/eV per cell

=====

Record 2
First-principles (GGA-PBE) data for a geometry-optimized Ba2NaZn2 structure, as listed in Alexandria.

Unit cell a=9.035 b=9.035 c=4.520 alpha=90.00 beta=90.00 gamma=90.00
Element x y z (fractional)
Ba: 0.177 0.323 0.000
Ba: 0.323 0.823 0.000
Ba: 0.677 0.177 0.000
Ba: 0.823 0.677 0.000
Na: 0.000 0.000 0.500
Na: 0.500 0.500 0.500
Zn: 0.111 0.611 0.500
Zn: 0.389 0.111 0.500
Zn: 0.611 0.889 0.500
Zn: 0.889 0.389 0.500

VASP energy: -1.649 eV/atom
space group: P4/mbm (127)
calculated formation energy: -0.106 eV/atom
ΔE to the lowest computed polymorph: 0.034 eV/atom
N(E_F): 10.176 states/eV per cell

=====

Record 3
First-principles (GGA-PBE) data for a geometry-optimized BaNaZn4 structure, as listed in Alexandria.

Unit cell a=5.783 b=5.783 c=5.783 alpha=60.00 beta=60.00 gamma=60.00
Element x y z (fractional)
Ba: 0.000 0.000 0.000
Na: 0.250 0.250 0.250
Zn: 0.133 0.622 0.622
Zn: 0.622 0.133 0.622
Zn: 0.622 0.622 0.133
Zn: 0.622 0.622 0.622

VASP energy: -1.479 eV/atom
space group: F-43m (216)
calculated formation energy: -0.090 eV/atom
N(E_F): 2.460 states/eV per cell

=====

Record 4
First-principles (GGA-PBE) data for a geometry-optimized Ba2NaZn2 structure, as listed in Alexandria.

Unit cell a=6.488 b=6.488 c=6.488 alpha=120.29 beta=120.29 gamma=89.49
Element x y z (fractional)
Ba: 0.250 0.750 0.500
Ba: 0.750 0.250 0.500
Na: 0.000 0.000 0.000
Zn: 0.368 0.368 0.000
Zn: 0.632 0.632 0.000

VASP energy: -1.570 eV/atom
space group: I4/mmm (139)
calculated formation energy: -0.028 eV/atom
ΔE to the lowest computed polymorph: 0.112 eV/atom
N(E_F): 7.326 states/eV per cell

=====

Record 5
First-principles (GGA-PBE) data for a geometry-optimized Ba8Na3Zn2 structure, as listed in Alexandria.

Unit cell a=11.177 b=11.177 c=6.361 alpha=90.00 beta=90.00 gamma=124.60
Element x y z (fractional)
Ba: 0.110 0.890 0.000
Ba: 0.136 0.410 0.500
Ba: 0.300 0.700 0.000
Ba: 0.410 0.136 0.500
Ba: 0.590 0.864 0.500
Ba: 0.700 0.300 0.000
Ba: 0.864 0.590 0.500
Ba: 0.890 0.110 0.000
Na: 0.000 0.000 0.500
Na: 0.330 0.330 0.000
Na: 0.670 0.670 0.000
Zn: 0.229 0.771 0.500
Zn: 0.771 0.229 0.500

VASP energy: -1.654 eV/atom
space group: Cmmm (65)
calculated formation energy: 0.029 eV/atom
N(E_F): 15.627 states/eV per cell

=====

Record 6
First-principles (GGA-PBE) data for a geometry-optimized Ba4Na3Zn structure, as listed in Alexandria.

Unit cell a=4.238 b=4.238 c=20.720 alpha=90.00 beta=90.00 gamma=90.00
Element x y z (fractional)
Ba: 0.000 0.000 0.093
Ba: 0.000 0.000 0.366
Ba: 0.000 0.000 0.634
Ba: 0.000 0.000 0.907
Na: 0.500 0.500 0.231
Na: 0.500 0.500 0.500
Na: 0.500 0.500 0.769
Zn: 0.500 0.500 0.000

VASP energy: -1.655 eV/atom
space group: P4/mmm (123)
calculated formation energy: -0.040 eV/atom
N(E_F): 8.349 states/eV per cell

=====

Record 7
First-principles (GGA-PBE) data for a geometry-optimized Ba6NaZn structure, as listed in Alexandria.

Unit cell a=11.776 b=11.776 c=11.776 alpha=149.50 beta=149.50 gamma=43.67
Element x y z (fractional)
Ba: 0.095 0.595 0.500
Ba: 0.249 0.249 0.000
Ba: 0.405 0.905 0.500
Ba: 0.595 0.095 0.500
Ba: 0.751 0.751 0.000
Ba: 0.905 0.405 0.500
Na: 0.000 0.000 0.000
Zn: 0.500 0.500 0.000

VASP energy: -1.767 eV/atom
space group: I4/mmm (139)
calculated formation energy: -0.001 eV/atom
ΔE to the lowest computed polymorph: 0.000 eV/atom
N(E_F): 10.631 states/eV per cell

=====

Record 8
First-principles (GGA-PBE) data for a geometry-optimized BaNa2Zn structure, as listed in Alexandria.

Unit cell a=13.627 b=13.627 c=13.627 alpha=159.68 beta=159.68 gamma=28.90
Element x y z (fractional)
Ba: 0.000 0.000 0.000
Ba: 0.750 0.250 0.500
Na: 0.160 0.625 0.035
Na: 0.375 0.410 0.535
Na: 0.590 0.125 0.965
Na: 0.875 0.840 0.465
Zn: 0.250 0.750 0.500
Zn: 0.500 0.500 0.000

VASP energy: -1.367 eV/atom
space group: I-42d (122)
calculated formation energy: 0.092 eV/atom
N(E_F): 5.380 states/eV per cell

=====

Record 9
First-principles (GGA-PBE) data for a geometry-optimized BaNaZn3 structure, as listed in Alexandria.

Unit cell a=6.201 b=6.201 c=6.201 alpha=90.00 beta=90.00 gamma=90.00
Element x y z (fractional)
Ba: 0.000 0.000 0.000
Na: 0.500 0.500 0.500
Zn: 0.000 0.000 0.500
Zn: 0.000 0.500 0.000
Zn: 0.500 0.000 0.000

VASP energy: -0.816 eV/atom
space group: Pm-3m (221)
calculated formation energy: 0.596 eV/atom
ΔE to the lowest computed polymorph: 0.353 eV/atom
N(E_F): 4.521 states/eV per cell

=====

Record 10
First-principles (GGA-PBE) data for a geometry-optimized Ba2Na4Zn structure, as listed in Alexandria.

Unit cell a=10.535 b=10.535 c=10.535 alpha=148.60 beta=148.60 gamma=45.00
Element x y z (fractional)
Ba: 0.153 0.153 0.000
Ba: 0.847 0.847 0.000
Na: 0.000 0.500 0.500
Na: 0.352 0.352 0.000
Na: 0.500 0.000 0.500
Na: 0.648 0.648 0.000
Zn: 0.500 0.500 0.000

VASP energy: -1.344 eV/atom
space group: I4/mmm (139)
calculated formation energy: 0.141 eV/atom
N(E_F): 5.591 states/eV per cell

=====

Record 11
First-principles (GGA-PBE) data for a geometry-optimized Ba12NaZn5 structure, as listed in Alexandria.

Unit cell a=10.295 b=10.295 c=10.295 alpha=112.96 beta=109.60 gamma=105.93
Element x y z (fractional)
Ba: 0.043 0.228 0.815
Ba: 0.172 0.271 0.443
Ba: 0.172 0.729 0.901
Ba: 0.326 0.009 0.683
Ba: 0.326 0.643 0.317
Ba: 0.413 0.228 0.185
Ba: 0.587 0.772 0.815
Ba: 0.674 0.357 0.683
Ba: 0.674 0.991 0.317
Ba: 0.828 0.271 0.099
Ba: 0.828 0.729 0.557
Ba: 0.957 0.772 0.185
Na: 0.500 0.500 0.000
Zn: 0.000 0.000 0.000
Zn: 0.106 0.606 0.500
Zn: 0.344 0.000 0.344
Zn: 0.656 0.000 0.656
Zn: 0.894 0.394 0.500

VASP energy: -1.786 eV/atom
space group: Immm (71)
calculated formation energy: -0.077 eV/atom
N(E_F): 27.210 states/eV per cell

=====

Record 12
First-principles (GGA-PBE) data for a geometry-optimized Ba3NaZn structure, as listed in Alexandria.

Unit cell a=10.421 b=4.693 c=10.723 alpha=90.00 beta=114.63 gamma=90.00
Element x y z (fractional)
Ba: 0.073 0.250 0.312
Ba: 0.286 0.250 0.961
Ba: 0.410 0.750 0.316
Ba: 0.590 0.250 0.684
Ba: 0.714 0.750 0.039
Ba: 0.927 0.750 0.688
Na: 0.287 0.750 0.648
Na: 0.713 0.250 0.352
Zn: 0.060 0.750 0.048
Zn: 0.940 0.250 0.952

VASP energy: -1.712 eV/atom
space group: P2_1/m (11)
calculated formation energy: -0.040 eV/atom
ΔE to the lowest computed polymorph: 0.000 eV/atom
N(E_F): 11.938 states/eV per cell

=====

Repeat the tenth record exactly.
First-principles (GGA-PBE) data for a geometry-optimized Ba2Na4Zn structure, as listed in Alexandria.

Unit cell a=10.535 b=10.535 c=10.535 alpha=148.60 beta=148.60 gamma=45.00
Element x y z (fractional)
Ba: 0.153 0.153 0.000
Ba: 0.847 0.847 0.000
Na: 0.000 0.500 0.500
Na: 0.352 0.352 0.000
Na: 0.500 0.000 0.500
Na: 0.648 0.648 0.000
Zn: 0.500 0.500 0.000

VASP energy: -1.344 eV/atom
space group: I4/mmm (139)
calculated formation energy: 0.141 eV/atom
N(E_F): 5.591 states/eV per cell

=====

Among the records above, which one has the highest N(E_F)? Ba12NaZn5

=====

calculated formation energy of number 12 (Ba3NaZn)? -0.040 eV/atom